First-principles (PBE) data for a relaxed LiTm2In8 crystal, as listed in Alexandria.

The calculation puts the total magnetization at 0.0 μB/cell. As for the formation enthalpy at 0 K: -296 meV/atom. Its calculated density is 7.9 Mg/m³. As for the electronic total energy: -36.02 eV/f.u.

Unit cell a=4.674 b=4.674 c=12.188 alpha=90.00 beta=90.00 gamma=90.00
Fractional positions:
1 Li 0.000 0.000 0.000
2 Tm 0.000 0.000 0.313
3 Tm 0.000 0.000 0.687
4 In 0.000 0.500 0.500
5 In 0.500 0.000 0.500
6 In 0.500 0.500 0.311
7 In 0.500 0.500 0.689
8 In 0.000 0.500 0.129
9 In 0.500 0.000 0.129
10 In 0.000 0.500 0.871
11 In 0.500 0.000 0.871